No. 1
Entry from Alexandria via LeMat-Bulk: crystalline Zn2SiAg at its relaxed geometry (PBE-GGA).

Summary:
Space group = Immm, No. 71
ΔE_f (raw) = 21 kJ per mole of atoms
M_tot = 0.000 μB per cell
Electronic total energy = -0.1826 Ry per atom

Unit cell a=5.5661 b=5.5661 c=5.5661 alpha=151.25 beta=127.10 gamma=61.31
Sites, in units of the cell vectors:
Zn 0.2434 0.2434 0.0000
Zn 0.7566 0.7566 0.0000
Si 0.0000 0.5000 0.5000
Ag 0.5000 0.0000 0.5000



No. 2
Entry from Alexandria via LeMat-Bulk: crystalline Y4AgIr3 at its relaxed geometry (PBE-GGA).

Summary:
ΔE_f = -680 meV per atom
Space group = P4/mmm, No. 123
M_tot = 0.000 μB per cell
Electronic total energy = -0.5579 Ry per atom

Unit cell a=4.8643 b=4.8643 c=7.1401 alpha=90.00 beta=90.00 gamma=90.00
Sites, in units of the cell vectors:
Y 0.0000 0.5000 0.2406
Y 0.0000 0.5000 0.7594
Y 0.5000 0.0000 0.2406
Y 0.5000 0.0000 0.7594
Ag 0.0000 0.0000 0.5000
Ir 0.0000 0.0000 0.0000
Ir 0.5000 0.5000 0.0000
Ir 0.5000 0.5000 0.5000



No. 3
Entry from Alexandria via LeMat-Bulk: crystalline Cr3PtRh at its relaxed geometry (PBE-GGA).

Summary:
Energy above the most stable polymorph in this dataset = 0.0 kJ per mole of atoms
ΔE_f = 1509 meV per atom
Space group = Pm-3m, No. 221
M_tot = 0.002 μB per cell
Electronic total energy = -0.5103 Ry per atom

Unit cell a=4.3958 b=4.3958 c=4.3958 alpha=90.00 beta=90.00 gamma=90.00
Sites, in units of the cell vectors:
Cr 0.0000 0.0000 0.5000
Cr 0.0000 0.5000 0.0000
Cr 0.5000 0.0000 0.0000
Pt 0.5000 0.5000 0.5000
Rh 0.0000 0.0000 0.0000



Number 2 is which compound?
Y4AgIr3



Number 2 is which compound?
Y4AgIr3



The highest electronic total energy belongs to which entry?
Zn2SiAg